VASP calculation (PBE) on a relaxed structure of LiNbCu2.

Cell and atoms, written as CIF:
```
data_LiNbCu2
_cell_length_a 2.8390
_cell_length_b 2.8390
_cell_length_c 6.9202
_cell_angle_alpha 90.00
_cell_angle_beta 90.00
_cell_angle_gamma 90.00
_space_group_name_H-M_alt 'P 4/m m m'
_space_group_IT_number 123
_space_group_name_Hall '-P 4 2'
loop_
_atom_site_label
_atom_site_type_symbol
_atom_site_fract_x
_atom_site_fract_y
_atom_site_fract_z
Li1 Li 0.0000 0.0000 0.0000
Nb1 Nb 0.0000 0.0000 0.5000
Cu1 Cu 0.5000 0.5000 0.2287
```

Summary:
The calculation puts the volume at 13.94 Å³ per atom. The value obtained for the total magnetic moment is 0.00 μB/f.u. For the calculated formation energy, the calculation gives 0.063 eV per atom.